Entry 1:
Here is Y2HIr after structural relaxation from Alexandria. Energies are from PBE.

Output
Space group: Fm-3m (225)
Energy above the lowest structure with this stoichiometry in meV/atom: 182
Total moment in μB/atom: 0.000
VASP energy in eV per atom: -6.648

a = 4.7671 Å, b = 4.7671 Å, c = 4.7671 Å
α = 60.00°, β = 60.00°, γ = 60.00°
Element x y z (fractional)
Y  0.2500  0.2500  0.2500
Y  0.7500  0.7500  0.7500
H  0.0000  0.0000  0.0000
Ir  0.5000  0.5000  0.5000

***

Entry 2:
Here is Y2HIr after structural relaxation from Alexandria. Energies are from PBE.

Output
Space group: I-42d (122)
Energy above the lowest structure with this stoichiometry in meV/atom: 114
Total moment in μB/atom: 0.000
VASP energy in eV per atom: -6.715

a = 5.8432 Å, b = 5.8432 Å, c = 5.8432 Å
α = 110.92°, β = 110.92°, γ = 106.61°
Element x y z (fractional)
Y  0.0584  0.6250  0.9334
Y  0.3750  0.3084  0.4334
Y  0.6916  0.1250  0.0666
Y  0.8750  0.9416  0.5666
H  0.0000  0.0000  0.0000
H  0.7500  0.2500  0.5000
Ir  0.2500  0.7500  0.5000
Ir  0.5000  0.5000  0.0000

***

Entry 3:
Here is Y2HIr after structural relaxation from Alexandria. Energies are from PBE.

Output
Space group: P2/c (13)
Energy above the lowest structure with this stoichiometry in meV/atom: 0
Total moment in μB/atom: 0.000
VASP energy in eV per atom: -6.829

a = 5.7730 Å, b = 5.5512 Å, c = 11.2387 Å
α = 90.00°, β = 115.38°, γ = 90.00°
Element x y z (fractional)
Y  0.0450  0.2402  0.1060
Y  0.0450  0.7598  0.6060
Y  0.3489  0.2318  0.8691
Y  0.3489  0.7682  0.3691
Y  0.6511  0.2318  0.6309
Y  0.6511  0.7682  0.1309
Y  0.9550  0.2402  0.3940
Y  0.9550  0.7598  0.8940
H  0.0368  0.1813  0.6211
H  0.0368  0.8187  0.1211
H  0.9632  0.1813  0.8789
H  0.9632  0.8187  0.3789
Ir  0.4158  0.2678  0.3556
Ir  0.4158  0.7322  0.8556
Ir  0.5842  0.2678  0.1444
Ir  0.5842  0.7322  0.6444

***

Entry 4:
Here is Y2H2Ir after structural relaxation from Alexandria. Energies are from PBE.

Output
Space group: P4/mbm (127)
Energy above the lowest structure with this stoichiometry in meV/atom: 402
Total moment in μB/atom: 0.000
VASP energy in eV per atom: -6.031

a = 6.8261 Å, b = 6.8261 Å, c = 3.1799 Å
α = 90.00°, β = 90.00°, γ = 90.00°
Element x y z (fractional)
Y  0.1842  0.3158  0.0000
Y  0.3158  0.8158  0.0000
Y  0.6842  0.1842  0.0000
Y  0.8158  0.6842  0.0000
H  0.1142  0.6142  0.5000
H  0.3858  0.1142  0.5000
H  0.6142  0.8858  0.5000
H  0.8858  0.3858  0.5000
Ir  0.0000  0.0000  0.5000
Ir  0.5000  0.5000  0.5000

***

Entry 5:
Here is YHIr2 after structural relaxation from Alexandria. Energies are from PBE.

Output
Space group: Fm-3m (225)
Energy above the lowest structure with this stoichiometry in meV/atom: 922
Total moment in μB/atom: 0.000
VASP energy in eV per atom: -6.298

a = 4.4805 Å, b = 4.4805 Å, c = 4.4805 Å
α = 60.00°, β = 60.00°, γ = 60.00°
Element x y z (fractional)
Y  0.0000  0.0000  0.0000
H  0.5000  0.5000  0.5000
Ir  0.2500  0.2500  0.2500
Ir  0.7500  0.7500  0.7500

***

Entry 6:
Here is Y3H12Ir5 after structural relaxation from Alexandria. Energies are from PBE.

Output
Space group: Ia-3d (230)
Total moment in μB/atom: 0.000
VASP energy in eV per atom: -5.412

a = 10.0837 Å, b = 10.0837 Å, c = 10.0837 Å
α = 109.47°, β = 109.47°, γ = 109.47°
Element x y z (fractional)
Y  0.1250  0.2500  0.3750
Y  0.1250  0.3750  0.7500
Y  0.2500  0.3750  0.1250
Y  0.2500  0.8750  0.6250
Y  0.3750  0.1250  0.2500
Y  0.3750  0.7500  0.1250
Y  0.6250  0.2500  0.8750
Y  0.6250  0.8750  0.7500
Y  0.7500  0.1250  0.3750
Y  0.7500  0.6250  0.8750
Y  0.8750  0.6250  0.2500
Y  0.8750  0.7500  0.6250
H  0.0173  0.1934  0.1044
H  0.0173  0.3239  0.9129
H  0.0871  0.6044  0.4111
H  0.0871  0.9827  0.6761
H  0.0889  0.6934  0.6761
H  0.0889  0.8956  0.4129
H  0.1044  0.0173  0.1934
H  0.1044  0.5871  0.9111
H  0.1761  0.1934  0.5889
H  0.1761  0.4827  0.5871
H  0.1934  0.1044  0.0173
H  0.1934  0.5889  0.1761
H  0.3066  0.3239  0.9111
H  0.3066  0.4827  0.3956
H  0.3239  0.9111  0.3066
H  0.3239  0.9129  0.0173
H  0.3956  0.3066  0.4827
H  0.3956  0.5889  0.9129
H  0.4111  0.0871  0.6044
H  0.4111  0.8239  0.8066
H  0.4129  0.0889  0.8956
H  0.4129  0.8239  0.5173
H  0.4827  0.3956  0.3066
H  0.4827  0.5871  0.1761
H  0.5173  0.4129  0.8239
H  0.5173  0.6044  0.6934
H  0.5871  0.1761  0.4827
H  0.5871  0.9111  0.1044
H  0.5889  0.1761  0.1934
H  0.5889  0.9129  0.3956
H  0.6044  0.4111  0.0871
H  0.6044  0.6934  0.5173
H  0.6761  0.0871  0.9827
H  0.6761  0.0889  0.6934
H  0.6934  0.5173  0.6044
H  0.6934  0.6761  0.0889
H  0.8066  0.4111  0.8239
H  0.8066  0.8956  0.9827
H  0.8239  0.5173  0.4129
H  0.8239  0.8066  0.4111
H  0.8956  0.4129  0.0889
H  0.8956  0.9827  0.8066
H  0.9111  0.1044  0.5871
H  0.9111  0.3066  0.3239
H  0.9129  0.0173  0.3239
H  0.9129  0.3956  0.5889
H  0.9827  0.6761  0.0871
H  0.9827  0.8066  0.8956
Ir  0.0000  0.0000  0.0000
Ir  0.0000  0.0000  0.5000
Ir  0.0000  0.5000  0.0000
Ir  0.0000  0.5000  0.5000
Ir  0.1250  0.7500  0.8750
Ir  0.1250  0.8750  0.2500
Ir  0.2500  0.1250  0.8750
Ir  0.2500  0.6250  0.3750
Ir  0.3750  0.2500  0.6250
Ir  0.3750  0.6250  0.7500
Ir  0.5000  0.0000  0.0000
Ir  0.5000  0.0000  0.5000
Ir  0.5000  0.5000  0.0000
Ir  0.5000  0.5000  0.5000
Ir  0.6250  0.3750  0.2500
Ir  0.6250  0.7500  0.3750
Ir  0.7500  0.3750  0.6250
Ir  0.7500  0.8750  0.1250
Ir  0.8750  0.1250  0.7500
Ir  0.8750  0.2500  0.1250

***

Values of DOS at the Fermi energy, in order: 0.753 0.872 0.576 0.530 0.818 0.324, all in states/eV per atom.